Density functional theory data (PBE-GGA) for crystalline V4GaH at its relaxed geometry. Values from VASP.

```
&SYSTEM
  ibrav = 0, nat = 12, ntyp = 3
/
ATOMIC_SPECIES
V 50.94 V.upf
Ga 69.72 Ga.upf
H 1.01 H.upf
ATOMIC_POSITIONS crystal
V 0.021 0.236 0.490
V 0.209 0.667 0.891
V 0.370 0.567 0.282
V 0.402 0.059 0.294
V 0.598 0.941 0.706
V 0.630 0.433 0.718
V 0.791 0.333 0.109
V 0.979 0.764 0.510
Ga 0.186 0.176 0.889
Ga 0.814 0.824 0.111
H 0.322 0.616 0.614
H 0.678 0.384 0.386
CELL_PARAMETERS angstrom
4.387 0.000 0.000
-0.330 5.314 0.000
-1.804 -1.371 6.042
```

Distance to the lowest polymorph of the same formula in meV per atom: 0
Total magnetic moment in μB/cell: 0.00
V in Å³/cell: 140.9
SG: P-1, No. 2
DFT total energy in eV/atom: -7.306